Entry 1:
Entry from Alexandria via LeMat-Bulk: a geometry-optimized LaSnPO2 structure (GGA-PBE).

The structure in CIF format:
```
data_LaSnPO2
_chemical_formula_sum 'La1 Sn1 P1 O2'
_cell_length_a 4.273
_cell_length_b 4.273
_cell_length_c 6.394
_cell_angle_alpha 90.00
_cell_angle_beta 90.00
_cell_angle_gamma 90.00
_symmetry_space_group_name_H-M 'P 4/m m m'
_symmetry_Int_Tables_number 123
_symmetry_space_group_name_Hall '-P 4 2'
loop_
_atom_site_label
_atom_site_type_symbol
_atom_site_fract_x
_atom_site_fract_y
_atom_site_fract_z
La1 La 0.000 0.000 0.000
Sn1 Sn 0.500 0.500 0.500
P1 P 0.000 0.000 0.500
O1 O 0.000 0.500 0.000
```



Entry 2:
Entry from Alexandria via LeMat-Bulk: a geometry-optimized SrLaP2O structure (GGA-PBE).

The structure in CIF format:
```
data_SrLaP2O
_chemical_formula_sum 'Sr1 La1 P2 O1'
_cell_length_a 5.315
_cell_length_b 5.315
_cell_length_c 4.481
_cell_angle_alpha 90.00
_cell_angle_beta 90.00
_cell_angle_gamma 90.00
_symmetry_space_group_name_H-M 'P 4/m m m'
_symmetry_Int_Tables_number 123
_symmetry_space_group_name_Hall '-P 4 2'
loop_
_atom_site_label
_atom_site_type_symbol
_atom_site_fract_x
_atom_site_fract_y
_atom_site_fract_z
Sr1 Sr 0.000 0.000 0.000
La1 La 0.500 0.500 0.500
P1 P 0.000 0.500 0.000
O1 O 0.000 0.000 0.500
```



Entry 3:
Entry from Alexandria via LeMat-Bulk: a geometry-optimized SrLaPO2 structure (GGA-PBE).

The structure in CIF format:
```
data_SrLaPO2
_chemical_formula_sum 'Sr1 La1 P1 O2'
_cell_length_a 4.502
_cell_length_b 4.502
_cell_length_c 5.807
_cell_angle_alpha 90.00
_cell_angle_beta 90.00
_cell_angle_gamma 90.00
_symmetry_space_group_name_H-M 'P 4/m m m'
_symmetry_Int_Tables_number 123
_symmetry_space_group_name_Hall '-P 4 2'
loop_
_atom_site_label
_atom_site_type_symbol
_atom_site_fract_x
_atom_site_fract_y
_atom_site_fract_z
Sr1 Sr 0.000 0.000 0.000
La1 La 0.500 0.500 0.500
P1 P 0.500 0.500 0.000
O1 O 0.000 0.500 0.500
```



Entry 4:
Entry from Alexandria via LeMat-Bulk: a geometry-optimized Sr2La4P3O2 structure (GGA-PBE).

The structure in CIF format:
```
data_Sr2La4P3O2
_chemical_formula_sum 'Sr4 La8 P6 O4'
_cell_length_a 4.782
_cell_length_b 4.782
_cell_length_c 24.311
_cell_angle_alpha 90.00
_cell_angle_beta 90.00
_cell_angle_gamma 90.00
_symmetry_space_group_name_H-M 'I 4/m m m'
_symmetry_Int_Tables_number 139
_symmetry_space_group_name_Hall '-I 4 2'
loop_
_atom_site_label
_atom_site_type_symbol
_atom_site_fract_x
_atom_site_fract_y
_atom_site_fract_z
Sr1 Sr 0.000 0.000 0.202
La1 La 0.000 0.500 0.079
P1 P 0.000 0.000 0.330
P2 P 0.000 0.000 0.500
O1 O 0.000 0.000 0.101
```



Number 1: formation energy without anion corrections -0.965 eV per atom, DOS at the Fermi energy 4.0 states/eV/f.u.. Number 2: formation energy without anion corrections -0.338 eV per atom, DOS at the Fermi energy 5.1 states/eV/f.u.. Number 3: formation energy without anion corrections -1.561 eV per atom, DOS at the Fermi energy 4.5 states/eV/f.u.. Number 4: formation energy without anion corrections -1.805 eV per atom, DOS at the Fermi energy 2.3 states/eV/f.u..